Record 1
Computed, not measured: crystalline PrHoCo2Si2 at its relaxed geometry at the PBE-GGA level of DFT.

Geometry as extended XYZ:
```
6
Lattice="3.9784 0.0000 0.0000 0.0000 3.9784 0.0000 0.0000 0.0000 6.9146" Properties=species:S:1:pos:R:3 pbc="T T T"
Pr 0.0000 0.0000 0.0000
Ho 1.9892 1.9892 2.5628
Co 0.0000 1.9892 4.6137
Co 1.9892 0.0000 4.6137
Si 0.0000 0.0000 3.3945
Si 1.9892 1.9892 5.8144
```

Properties
**Space group**: No. 99
**Volume**: 18.2 Å³/atom
**Electronic total energy**: -6.44 eV per atom

Record 2
Computed, not measured: crystalline Pr3Ho3CoTe2 at its relaxed geometry at the PBE-GGA level of DFT.

Geometry as extended XYZ:
```
9
Lattice="8.6248 0.0000 0.0000 -4.3124 7.4693 0.0000 0.0000 0.0000 3.8773" Properties=species:S:1:pos:R:3 pbc="T T T"
Pr -3.2731 5.6692 0.0000
Pr 1.0393 1.8001 0.0000
Pr 6.5462 0.0000 0.0000
Ho -1.7592 3.0471 1.9387
Ho 3.5185 0.0000 1.9387
Ho 2.5531 4.4222 1.9387
Co 0.0000 0.0000 1.9387
Te 0.0000 4.9795 0.0000
Te 4.3124 2.4898 0.0000
```

Properties
**Space group**: No. 189
**Volume**: 27.8 Å³/atom
**Electronic total energy**: -5.19 eV per atom